! BeTl2As2 (PBE, relaxed); values from VASP
! formation energy from the elements = 0.119 eV/atom
! M_tot = 0.0 μB/f.u.
! crystal system = tetragonal
&SYSTEM
  ibrav = 0, nat = 10, ntyp = 3
/
ATOMIC_SPECIES
Be 9.01 Be.upf
Tl 204.38 Tl.upf
As 74.92 As.upf
ATOMIC_POSITIONS crystal
Be 0.0000 0.0000 0.0000
Be 0.5000 0.5000 0.0000
Tl 0.1899 0.3101 0.5000
Tl 0.3101 0.8101 0.5000
Tl 0.6899 0.1899 0.5000
Tl 0.8101 0.6899 0.5000
As 0.1403 0.6403 0.0000
As 0.3597 0.1403 0.0000
As 0.6403 0.8597 0.0000
As 0.8597 0.3597 0.0000
CELL_PARAMETERS angstrom
6.2458 0.0000 0.0000
0.0000 6.2458 0.0000
0.0000 0.0000 5.9505

! BeTlAs (PBE, relaxed); values from VASP
! formation energy from the elements = 0.304 eV/atom
! M_tot = 0.0 μB/f.u.
! crystal system = tetragonal
&SYSTEM
  ibrav = 0, nat = 3, ntyp = 3
/
ATOMIC_SPECIES
Be 9.01 Be.upf
Tl 204.38 Tl.upf
As 74.92 As.upf
ATOMIC_POSITIONS crystal
Be 0.0000 0.0000 0.0000
Tl 0.2365 0.2365 0.0000
As 0.4931 0.4931 0.0000
CELL_PARAMETERS angstrom
-1.6682 1.6682 5.9009
1.6682 -1.6682 5.9009
1.6682 1.6682 -5.9009

! TmBeAs2 (PBE, relaxed); values from VASP
! formation energy from the elements = -0.267 eV/atom
! M_tot = 0.0 μB/f.u.
! crystal system = trigonal
&SYSTEM
  ibrav = 0, nat = 4, ntyp = 3
/
ATOMIC_SPECIES
Tm 168.93 Tm.upf
Be 9.01 Be.upf
As 74.92 As.upf
ATOMIC_POSITIONS crystal
Tm 0.0000 0.0000 0.0000
Be 0.5000 0.5000 0.5000
As 0.4061 0.4061 0.4061
As 0.5939 0.5939 0.5939
CELL_PARAMETERS angstrom
2.0485 1.1827 7.3808
-2.0485 1.1827 7.3808
0.0000 -2.3654 7.3808

! TmBe8As6 (PBE, relaxed); values from VASP
! formation energy from the elements = -0.085 eV/atom
! M_tot = 0.0 μB/f.u.
! crystal system = hexagonal
&SYSTEM
  ibrav = 0, nat = 30, ntyp = 3
/
ATOMIC_SPECIES
Tm 168.93 Tm.upf
Be 9.01 Be.upf
As 74.92 As.upf
ATOMIC_POSITIONS crystal
Tm 0.0000 0.0000 0.0000
Tm 0.0000 0.0000 0.5000
Be 0.0000 0.3422 0.3293
Be 0.0000 0.3427 0.6806
Be 0.0000 0.6573 0.1806
Be 0.0000 0.6578 0.8293
Be 0.3333 0.6667 0.4348
Be 0.3333 0.6667 0.9348
Be 0.3422 0.0000 0.3293
Be 0.3422 0.3422 0.8293
Be 0.3427 0.0000 0.6806
Be 0.3427 0.3427 0.1806
Be 0.6573 0.0000 0.1806
Be 0.6573 0.6573 0.6806
Be 0.6578 0.0000 0.8293
Be 0.6578 0.6578 0.3293
Be 0.6667 0.3333 0.4348
Be 0.6667 0.3333 0.9348
As 0.0000 0.0000 0.2509
As 0.0000 0.0000 0.7509
As 0.0000 0.4128 0.5043
As 0.0000 0.5872 0.0043
As 0.3333 0.6667 0.2463
As 0.3333 0.6667 0.7463
As 0.4128 0.0000 0.5043
As 0.4128 0.4128 0.0043
As 0.5872 0.0000 0.0043
As 0.5872 0.5872 0.5043
As 0.6667 0.3333 0.2463
As 0.6667 0.3333 0.7463
CELL_PARAMETERS angstrom
6.7569 0.0000 0.0000
-3.3785 5.8517 0.0000
0.0000 0.0000 12.1781

! TmBe3As3 (PBE, relaxed); values from VASP
! formation energy from the elements = -0.523 eV/atom
! M_tot = 0.0 μB/f.u.
! crystal system = trigonal
&SYSTEM
  ibrav = 0, nat = 14, ntyp = 3
/
ATOMIC_SPECIES
Tm 168.93 Tm.upf
Be 9.01 Be.upf
As 74.92 As.upf
ATOMIC_POSITIONS crystal
Tm 0.1662 0.1662 0.1662
Tm 0.8338 0.8338 0.8338
Be 0.0400 0.3725 0.7147
Be 0.2853 0.9600 0.6275
Be 0.3725 0.7147 0.0400
Be 0.6275 0.2853 0.9600
Be 0.7147 0.0400 0.3725
Be 0.9600 0.6275 0.2853
As 0.0828 0.7369 0.4114
As 0.2631 0.5886 0.9172
As 0.4114 0.0828 0.7369
As 0.5886 0.9172 0.2631
As 0.7369 0.4114 0.0828
As 0.9172 0.2631 0.5886
CELL_PARAMETERS angstrom
3.3097 1.9108 6.5330
-3.3097 1.9108 6.5330
0.0000 -3.8217 6.5330

! UBe3As3 (PBE, relaxed); values from VASP
! formation energy from the elements = -0.269 eV/atom
! M_tot = 3.0 μB/f.u.
! crystal system = trigonal
&SYSTEM
  ibrav = 0, nat = 14, ntyp = 3
/
ATOMIC_SPECIES
U 238.03 U.upf
Be 9.01 Be.upf
As 74.92 As.upf
ATOMIC_POSITIONS crystal
U 0.1664 0.1664 0.1664
U 0.8336 0.8336 0.8336
Be 0.0366 0.3756 0.7170
Be 0.2830 0.9634 0.6244
Be 0.3756 0.7170 0.0366
Be 0.6244 0.2830 0.9634
Be 0.7170 0.0366 0.3756
Be 0.9634 0.6244 0.2830
As 0.0845 0.7320 0.4081
As 0.2680 0.5919 0.9155
As 0.4081 0.0845 0.7320
As 0.5919 0.9155 0.2680
As 0.7320 0.4081 0.0845
As 0.9155 0.2680 0.5919
CELL_PARAMETERS angstrom
3.3048 1.9080 6.6657
-3.3048 1.9080 6.6657
0.0000 -3.8161 6.6657

! UBeAs (PBE, relaxed); values from VASP
! formation energy from the elements = 0.065 eV/atom
! M_tot = 3.0 μB/f.u.
! crystal system = tetragonal
&SYSTEM
  ibrav = 0, nat = 3, ntyp = 3
/
ATOMIC_SPECIES
U 238.03 U.upf
Be 9.01 Be.upf
As 74.92 As.upf
ATOMIC_POSITIONS crystal
U 0.0000 0.0000 0.0000
Be 0.2994 0.2994 0.0000
As 0.7063 0.7063 0.0000
CELL_PARAMETERS angstrom
-1.6110 1.6110 5.0015
1.6110 -1.6110 5.0015
1.6110 1.6110 -5.0015

! UBeAs (PBE, relaxed); values from VASP
! formation energy from the elements = -0.372 eV/atom
! M_tot = 2.6 μB/f.u.
! crystal system = hexagonal
&SYSTEM
  ibrav = 0, nat = 3, ntyp = 3
/
ATOMIC_SPECIES
U 238.03 U.upf
Be 9.01 Be.upf
As 74.92 As.upf
ATOMIC_POSITIONS crystal
U 0.0000 0.0000 0.0000
Be 0.6667 0.3333 0.5000
As 0.3333 0.6667 0.5000
CELL_PARAMETERS angstrom
3.7851 0.0000 0.0000
-1.8926 3.2780 0.0000
0.0000 0.0000 4.1980

Number 1: total energy -3.43 eV/atom. Number 2: total energy -3.28 eV/atom. Number 3: total energy -4.64 eV/atom. Number 4: total energy -4.23 eV/atom. Number 5: total energy -4.75 eV/atom. Number 6: total energy -5.47 eV/atom. Number 7: total energy -6.49 eV/atom. Number 8: total energy -6.93 eV/atom.